The following is a PBE calculation of a geometry-optimized TbInGePd structure, from the Alexandria database.

Results
M_tot, Bohr magnetons per cell: 0.0
ΔE_f, eV/atom: -0.5497
Total DFT energy (no corrections), eV/atom: -4.844
Density, g/cm3: 9.02

Structure (POSCAR):
```
TbInGePd
1.0
4.9031 0.0000 0.0000
2.4516 4.2462 0.0000
2.4516 1.4154 4.0034
In Ge Pd Tb
1 1 1 1
Cartesian
4.9031 2.8308 2.0017
2.4516 1.4154 1.0008
7.3547 4.2462 3.0025
0.0000 0.0000 0.0000
```